Entry 1:
VASP calculation (GGA-PBE) on a geometry-optimized Ti3Zn5 structure.

Cell lengths 7.871, 7.948, 3.935 Å; angles 90.00, 90.00, 90.00 degrees
Space group Cmmm (No. 65)
Inequivalent atoms, fractional coordinates:
Ti  0.000  0.000  0.000 x2
Ti  0.000  0.248  0.500 x4
Zn  0.000  0.500  0.000 x2
Zn  0.250  0.000  0.500 x4
Zn  0.250  0.250  0.000 x4

* spin magnetization: 0.3 μB per formula unit
* DOS(E_F): 0.987 states/eV/atom
* excess energy over the best structure of this formula in the dataset: 0.007 eV/atom

=====

Entry 2:
VASP calculation (GGA-PBE) on a geometry-optimized ZrTi5Zn6 structure.

Cell lengths 4.500, 6.360, 13.481 Å; angles 90.00, 90.00, 90.00 degrees
Space group Immm (No. 71)
Inequivalent atoms, fractional coordinates:
Zr  0.000  0.000  0.000 x2
Ti  0.000  0.000  0.331 x4
Ti  0.000  0.500  0.000 x2
Ti  0.000  0.500  0.338 x4
Zn  0.000  0.231  0.500 x4
Zn  0.000  0.259  0.171 x8

* spin magnetization: 0.0 μB per formula unit
* DOS(E_F): 0.296 states/eV/atom

=====

Entry 3:
VASP calculation (GGA-PBE) on a geometry-optimized Zr6TiZn5 structure.

Cell lengths 4.755, 14.267, 6.730 Å; angles 90.00, 90.00, 90.00 degrees
Space group Cmmm (No. 65)
Inequivalent atoms, fractional coordinates:
Zr  0.000  0.000  0.244 x4
Zr  0.000  0.331  0.250 x8
Ti  0.000  0.500  0.500 x2
Zn  0.000  0.160  0.500 x4
Zn  0.000  0.167  0.000 x4
Zn  0.000  0.500  0.000 x2

* spin magnetization: 2.6 μB per formula unit
* DOS(E_F): 0.882 states/eV/atom

=====

Entry 4:
VASP calculation (GGA-PBE) on a geometry-optimized Zr2TiZn structure.

Cell lengths 7.601, 7.601, 5.615 Å; angles 90.00, 90.00, 90.00 degrees
Space group I-42d (No. 122)
Inequivalent atoms, fractional coordinates:
Zr  0.236  0.750  0.125 x8
Ti  0.000  0.000  0.500 x4
Zn  0.000  0.000  0.000 x4

* spin magnetization: 0.0 μB per formula unit
* DOS(E_F): 1.528 states/eV/atom

=====

Entry 5:
VASP calculation (GGA-PBE) on a geometry-optimized ZrTiZn structure.

Cell lengths 4.7980, 4.7980, 2.7613 Å; angles 90.00, 90.00, 120.00 degrees
Space group P3m1 (No. 156)
Inequivalent atoms, fractional coordinates:
Zr  0.0000  0.0000  0.0000 x1
Ti  0.6667  0.3333  0.9955 x1
Zn  0.3333  0.6667  0.4980 x1

* spin magnetization: 1.6 μB per formula unit
* DOS(E_F): 1.336 states/eV/atom
* excess energy over the best structure of this formula in the dataset: 0.231 eV/atom

=====

Entry 6:
VASP calculation (GGA-PBE) on a geometry-optimized Zr3TiZn structure.

Cell lengths 4.965, 4.965, 4.965 Å; angles 90.00, 90.00, 90.00 degrees
Space group Pm-3m (No. 221)
Inequivalent atoms, fractional coordinates:
Zr  0.000  0.000  0.500 x3
Ti  0.500  0.500  0.500 x1
Zn  0.000  0.000  0.000 x1

* spin magnetization: 0.0 μB per formula unit
* DOS(E_F): 2.916 states/eV/atom
* excess energy over the best structure of this formula in the dataset: 0.000 eV/atom

=====

Entry 7:
VASP calculation (GGA-PBE) on a geometry-optimized ZrTiZn2 structure.

Cell lengths 2.866, 4.770, 11.183 Å; angles 90.00, 90.00, 90.00 degrees
Space group Immm (No. 71)
Inequivalent atoms, fractional coordinates:
Zr  0.000  0.000  0.000 x2
Ti  0.000  0.000  0.500 x2
Zn  0.000  0.000  0.262 x4

* spin magnetization: 0.0 μB per formula unit
* DOS(E_F): 0.604 states/eV/atom

=====

Entry 8:
VASP calculation (GGA-PBE) on a geometry-optimized Zr3TiZn structure.

Cell lengths 4.925, 4.925, 4.925 Å; angles 90.00, 90.00, 90.00 degrees
Space group Pm-3m (No. 221)
Inequivalent atoms, fractional coordinates:
Zr  0.000  0.000  0.500 x3
Ti  0.000  0.000  0.000 x1
Zn  0.500  0.500  0.500 x1

* spin magnetization: 0.0 μB per formula unit
* DOS(E_F): 1.604 states/eV/atom
* excess energy over the best structure of this formula in the dataset: 0.028 eV/atom

=====

Entry 9:
VASP calculation (GGA-PBE) on a geometry-optimized ZrTiZn17 structure.

Cell lengths 8.7912, 8.7912, 12.9315 Å; angles 90.00, 90.00, 120.00 degrees
Space group R3m (No. 160, hexagonal axes)
Inequivalent atoms, fractional coordinates:
Zr  0.0000  0.0000  0.0000 x3
Ti  0.0000  0.0000  0.3381 x3
Zn  0.0000  0.0000  0.5619 x3
Zn  0.0000  0.0000  0.7640 x3
Zn  0.0304  0.3600  0.3332 x18
Zn  0.1682  0.3363  0.1474 x9
Zn  0.1736  0.3473  0.5033 x9
Zn  0.1821  0.3643  0.8482 x9

* spin magnetization: 0.0 μB per formula unit
* DOS(E_F): 0.380 states/eV/atom

=====

Entry 10:
VASP calculation (GGA-PBE) on a geometry-optimized Zr3Ti2Zn2 structure.

Cell lengths 4.299, 21.069, 2.950 Å; angles 90.00, 90.00, 90.00 degrees
Space group Cmmm (No. 65)
Inequivalent atoms, fractional coordinates:
Zr  0.000  0.000  0.000 x2
Zr  0.000  0.147  0.000 x4
Ti  0.000  0.276  0.500 x4
Zn  0.000  0.427  0.500 x4

* spin magnetization: 0.0 μB per formula unit
* DOS(E_F): 1.236 states/eV/atom

=====

Entry 11:
VASP calculation (GGA-PBE) on a geometry-optimized Zr2TiZn structure.

Cell lengths 3.241, 3.241, 7.483 Å; angles 90.00, 90.00, 90.00 degrees
Space group P4/mmm (No. 123)
Inequivalent atoms, fractional coordinates:
Zr  0.000  0.000  0.243 x2
Ti  0.500  0.500  0.500 x1
Zn  0.500  0.500  0.000 x1

* spin magnetization: 0.0 μB per formula unit
* DOS(E_F): 1.198 states/eV/atom

=====

Entry 12:
VASP calculation (GGA-PBE) on a geometry-optimized Zr2TiZn3 structure.

Cell lengths 3.267, 3.267, 9.903 Å; angles 90.00, 90.00, 90.00 degrees
Space group P4/mmm (No. 123)
Inequivalent atoms, fractional coordinates:
Zr  0.000  0.000  0.174 x2
Ti  0.000  0.000  0.500 x1
Zn  0.500  0.500  0.000 x1
Zn  0.500  0.500  0.353 x2

* spin magnetization: 0.0 μB per formula unit
* DOS(E_F): 0.164 states/eV/atom

=====

ΔH_f (0 K) / meV per atom: -154; -191; -199; 282; 142; 786; 409; 814; -76; -58; -102; -244